VASP calculation (PBE+U) on a geometry-optimized PaMo2O8F structure.

Values from the calculation:
VASP energy = -7.65 eV/atom
Fermi-level density of states = 0.00 states/eV per atom
SG = P-3m1

abc: 6.697 6.697 4.671
angles: 90.00 90.00 120.00
Atoms (fractional coordinates):
1 Pa 0.000 0.000 0.000
2 Mo 0.333 0.667 0.725
3 Mo 0.667 0.333 0.275
4 O 0.182 0.364 0.829
5 O 0.182 0.818 0.829
6 O 0.333 0.667 0.354
7 O 0.364 0.182 0.171
8 O 0.636 0.818 0.829
9 O 0.667 0.333 0.646
10 O 0.818 0.182 0.171
11 O 0.818 0.636 0.171
12 F 0.000 0.000 0.500